Computed, not measured: crystalline CrAgI2O at its relaxed geometry at the PBE with a Hubbard U level of DFT.

The structure in POSCAR format:
```
CrAgI2O
1.0
5.779 0.000 0.000
0.000 5.779 0.000
0.000 0.000 3.708
Cr Ag I O
1 1 2 1
direct
0.000 0.000 0.000
0.500 0.500 0.500
0.000 0.500 0.000
0.500 0.000 0.000
0.000 0.000 0.500
```

Calculated values
The value obtained for the energy above the most stable polymorph in this dataset is 0.000 eV/atom.


Computed, not measured: crystalline CrAgIO6 at its relaxed geometry at the PBE with a Hubbard U level of DFT.

The structure in POSCAR format:
```
CrAgIO6
1.0
5.190 0.000 0.000
-2.595 4.495 0.000
0.000 0.000 9.818
Cr Ag I O
2 2 2 12
direct
0.333 0.667 0.250
0.667 0.333 0.750
0.000 0.000 0.000
0.000 0.000 0.500
0.333 0.667 0.750
0.667 0.333 0.250
0.011 0.378 0.641
0.011 0.633 0.859
0.367 0.378 0.859
0.367 0.989 0.641
0.378 0.011 0.141
0.378 0.367 0.359
0.622 0.633 0.641
0.622 0.989 0.859
0.633 0.011 0.359
0.633 0.622 0.141
0.989 0.367 0.141
0.989 0.622 0.359
```

Calculated values
The total DFT energy (no corrections) is -5.2906 eV/atom.


Computed, not measured: crystalline CrAgI2O at its relaxed geometry at the PBE with a Hubbard U level of DFT.

The structure in POSCAR format:
```
CrAgI2O
1.0
5.777 0.000 0.000
0.000 5.777 0.000
0.000 0.000 4.047
Cr Ag I O
1 1 2 1
direct
0.000 0.000 0.000
0.500 0.500 0.500
0.000 0.500 0.500
0.500 0.000 0.500
0.500 0.500 0.000
```

Calculated values
The value obtained for the energy above the most stable polymorph in this dataset is 0.651 eV/atom.